(1)
SrPt2Au at its PBEsol-relaxed geometry, computed with meta-GGA SCAN.

Structure (POSCAR):
```
SrPt2Au
1.0
3.9740 -2.2918 0.0000
3.9740 2.2918 0.0000
-2.6574 0.0000 5.1190
Sr Pt Au
1 2 1
Direct
0.0000 0.0000 0.0000
0.1854 0.1854 0.5563
0.8146 0.8146 0.4437
0.5000 0.5000 0.5000
```

Calculated values
Total magnetic moment (μB per cell): 0.000
Energy relative to the elements (eV per atom): -0.637
V (Å³/cell): 93.2

***

(2)
SrPtAu2 at its PBEsol-relaxed geometry, computed with meta-GGA SCAN.

Structure (POSCAR):
```
SrPtAu2
1.0
0.0000 2.9381 4.9849
2.8512 0.0000 4.9849
2.8512 2.9381 0.0000
Sr Pt Au
1 1 2
Direct
0.0000 0.0000 0.0000
0.5000 0.5000 0.5000
0.0000 0.5000 0.5000
0.5000 0.0000 0.0000
```

Calculated values
Total magnetic moment (μB per cell): 0.000
Energy relative to the elements (eV per atom): -0.327
V (Å³/cell): 83.5

***

(3)
Sr2PtAu at its PBEsol-relaxed geometry, computed with meta-GGA SCAN.

Structure (POSCAR):
```
Sr2PtAu
1.0
5.1652 0.0000 0.0000
0.0000 5.1652 0.0000
0.0000 0.0000 3.7266
Sr Pt Au
2 1 1
Direct
0.0000 0.5000 0.0000
0.5000 0.0000 0.0000
0.0000 0.0000 0.5000
0.5000 0.5000 0.5000
```

Calculated values
Total magnetic moment (μB per cell): 0.000
Energy relative to the elements (eV per atom): -0.876
V (Å³/cell): 99.4

***

(4)
Sr2PtAu at its PBEsol-relaxed geometry, computed with meta-GGA SCAN.

Structure (POSCAR):
```
Sr2PtAu
1.0
4.5645 0.0000 0.0000
0.0000 2.0973 5.6033
0.0000 -2.0973 5.6033
Sr Pt Au
2 1 1
Direct
0.0000 0.0000 0.0000
0.5000 0.2806 0.2806
0.5000 0.5659 0.5659
0.0000 0.7132 0.7132
```

Calculated values
Total magnetic moment (μB per cell): 0.000
Energy relative to the elements (eV per atom): -0.952
V (Å³/cell): 107.3

***

(5)
Ta2Pt2Au at its PBEsol-relaxed geometry, computed with meta-GGA SCAN.

Structure (POSCAR):
```
Ta2Pt2Au
1.0
7.7567 0.0000 0.0000
0.0000 7.7567 0.0000
0.0000 0.0000 2.8051
Ta Pt Au
4 4 2
Direct
0.1701 0.3299 0.0000
0.3299 0.8299 0.0000
0.6701 0.1701 0.0000
0.8299 0.6701 0.0000
0.1257 0.6257 0.5000
0.3743 0.1257 0.5000
0.6257 0.8743 0.5000
0.8743 0.3743 0.5000
0.0000 0.0000 0.5000
0.5000 0.5000 0.5000
```

Calculated values
Total magnetic moment (μB per cell): 0.000
Energy relative to the elements (eV per atom): -0.551
V (Å³/cell): 168.8

***

(6)
TaPtAu2 at its PBEsol-relaxed geometry, computed with meta-GGA SCAN.

Structure (POSCAR):
```
TaPtAu2
1.0
3.4995 0.0000 0.0000
0.0000 3.4995 0.0000
0.0000 0.0000 5.4313
Ta Pt Au
1 1 2
Direct
0.0000 0.0000 0.0000
0.0000 0.0000 0.5000
0.5000 0.5000 0.2504
0.5000 0.5000 0.7496
```

Calculated values
Total magnetic moment (μB per cell): 0.478
Energy relative to the elements (eV per atom): -0.123
V (Å³/cell): 66.5
Relative energy among the computed polymorphs (eV per atom): 0.219

***

(7)
TaPtAu2 at its PBEsol-relaxed geometry, computed with meta-GGA SCAN.

Structure (POSCAR):
```
TaPtAu2
1.0
2.8691 0.0000 0.0000
0.0000 2.8691 0.0000
0.0000 0.0000 7.9909
Ta Pt Au
1 1 2
Direct
0.0000 0.0000 0.0000
0.5000 0.5000 0.7698
0.0000 0.0000 0.5116
0.5000 0.5000 0.2506
```

Calculated values
Total magnetic moment (μB per cell): 0.000
Energy relative to the elements (eV per atom): -0.343
V (Å³/cell): 65.8
Relative energy among the computed polymorphs (eV per atom): 0.000

***

(8)
TcPt2Au at its PBEsol-relaxed geometry, computed with meta-GGA SCAN.

Structure (POSCAR):
```
TcPt2Au
1.0
2.7546 0.0000 0.0000
0.0000 3.9296 0.0000
0.0000 0.0000 5.5774
Tc Pt Au
1 2 1
Direct
0.0000 0.0000 0.0000
0.0000 0.0000 0.5197
0.5000 0.5000 0.7796
0.5000 0.5000 0.2639
```

Calculated values
Total magnetic moment (μB per cell): 0.000
Energy relative to the elements (eV per atom): 0.061
V (Å³/cell): 60.4
Relative energy among the computed polymorphs (eV per atom): 0.216

***

Q: What is the energy relative to the elements in the fourth record?
A: -0.952 eV per atom